DFT (PBE) results for an optimized crystal structure of Pa3P2H4Pt2.

Unit cell a=10.4353 b=10.4353 c=10.4353 alpha=158.29 beta=158.29 gamma=30.89
Positions (direct):
Pa (0.0000, 0.0000, 0.0000)
Pa (0.1693, 0.1693, 0.0000)
Pa (0.8307, 0.8307, 0.0000)
P (0.3075, 0.3075, 0.0000)
P (0.6925, 0.6925, 0.0000)
H (0.0779, 0.5779, 0.5000)
H (0.4221, 0.9221, 0.5000)
H (0.5779, 0.0779, 0.5000)
H (0.9221, 0.4221, 0.5000)
Pt (0.4302, 0.4302, 0.0000)
Pt (0.5698, 0.5698, 0.0000)

Values from the calculation:
Total DFT energy (no corrections): -6.522 eV per atom
Symmetry: I4/mmm (139)